Material: TiP2Br
Method: DFT, GGA-PBEsol
State: optimized geometry

Results
- ΔE_f (raw) (eV/atom) = 0.43

```
data_TiP2Br
_cell_length_a 6.388
_cell_length_b 6.388
_cell_length_c 6.388
_cell_angle_alpha 90.00
_cell_angle_beta 90.00
_cell_angle_gamma 90.00
_space_group_name_H-M_alt 'F m -3 m'
_space_group_IT_number 225
_space_group_name_Hall '-F 4 2 3'
loop_
_atom_site_label
_atom_site_type_symbol
_atom_site_fract_x
_atom_site_fract_y
_atom_site_fract_z
_atom_site_occupancy
Ti1 Ti 0.000 0.000 0.000 1
P1 P 0.250 0.250 0.250 1
Br1 Br 0.000 0.000 0.500 1
```